! BaAgAu2 | Alexandria | meta-GGA SCAN | PBEsol geometry; values from VASP
! - Final energy: -3.864 Ry/atom
! - Energy of formation from the pure elements: -1.070 eV per formula unit
&SYSTEM
  ibrav = 0, nat = 4, ntyp = 3
/
ATOMIC_SPECIES
Au 196.97 Au.upf
Ba 137.33 Ba.upf
Ag 107.87 Ag.upf
CELL_PARAMETERS angstrom
5.111 0.000 0.000
2.555 4.426 0.000
2.555 1.475 4.173
ATOMIC_POSITIONS crystal
Au 0.000 0.000 0.000
Au 0.750 0.750 0.750
Ba 0.250 0.250 0.250
Ag 0.500 0.500 0.500